Here is a geometry-optimized Pr3Ga2SnPd9 structure from the Alexandria database. Energies are from PBE-GGA.

Results
formation energy = -0.58 eV per atom
magnetization = 0.0 μB/f.u.
electronic total energy = -5.32 eV/atom
crystal system = trigonal

Cell: 5.7624 5.7624 11.7200 Å, 90.00 90.00 120.00°
Positions (direct):
1 Ga 0.6667 0.3333 0.8372
2 Pd 0.5000 0.0000 0.0000
3 Sn 0.0000 0.0000 0.5000
4 Pr 0.3333 0.6667 0.7525
5 Pd 0.8346 0.6691 0.6788
6 Pd 0.6691 0.8346 0.3212
7 Pd 0.8346 0.1654 0.6788
8 Pr 0.6667 0.3333 0.2475
9 Pd 0.1654 0.3309 0.3212
10 Pd 0.0000 0.5000 0.0000
11 Ga 0.3333 0.6667 0.1628
12 Pr 0.0000 0.0000 0.0000
13 Pd 0.3309 0.1654 0.6788
14 Pd 0.1654 0.8346 0.3212
15 Pd 0.5000 0.5000 0.0000



Here is a geometry-optimized MgTe2Os structure from the Alexandria database. Energies are from PBE-GGA.

Results
formation energy from raw total energies = 63.9 kJ per mole of atoms
magnetization = 0.0 μB/f.u.
electronic total energy = -4.11 eV/atom
crystal system = trigonal

Cell: 11.2378 11.2378 11.2378 Å, 16.00 16.00 16.00°
Positions (direct):
1 Mg 0.5000 0.5000 0.5000
2 Os 0.0000 0.0000 0.0000
3 Te 0.0768 0.0768 0.0768
4 Te 0.9232 0.9232 0.9232



Here is a geometry-optimized Nd6Ni2HBr3 structure from the Alexandria database. Energies are from PBE-GGA.

Results
magnetization = 0.0 μB/f.u.
electronic total energy = -4.80 eV/atom
crystal system = monoclinic

Cell: 7.0032 7.0032 7.9418 Å, 98.41 98.41 120.18°
Positions (direct):
1 Br 0.1672 0.8328 0.5000
2 Nd 0.5952 0.9338 0.8041
3 Nd 0.9338 0.5952 0.8041
4 Ni 0.6675 0.3325 0.0000
5 Nd 0.4048 0.0662 0.1959
6 Nd 0.0662 0.4048 0.1959
7 Ni 0.3325 0.6675 0.0000
8 Nd 0.7254 0.7254 0.1923
9 H 0.0000 0.0000 0.0000
10 Br 0.8328 0.1672 0.5000
11 Br 0.5000 0.5000 0.5000
12 Nd 0.2746 0.2746 0.8077



Fermi-level density of states (states/eV/f.u.)
7.73, 2.67, 10.81